# ZrScBr3 | the Alexandria database | GGA-PBE | relaxed
data_ZrScBr3
_chemical_formula_sum 'Zr1 Sc1 Br3'
_space_group_name_H-M_alt 'P 1'
_space_group_IT_number 1
_cell_length_a 5.356
_cell_length_b 5.356
_cell_length_c 5.356
_cell_angle_alpha 90.00
_cell_angle_beta 90.00
_cell_angle_gamma 90.00
loop_
_space_group_symop_operation_xyz
'x,y,z'
loop_
_atom_site_label
_atom_site_type_symbol
_atom_site_fract_x
_atom_site_fract_y
_atom_site_fract_z
Br1 Br 0.000 0.500 0.000
Br2 Br 0.500 0.000 0.000
Br3 Br 0.000 0.000 0.500
Zr1 Zr 0.000 0.000 0.000
Sc1 Sc 0.500 0.500 0.500
# ρ = 4.063 Mg/m³
# energy above the lowest structure with this stoichiometry = 0.010 eV/atom
# crystal system = cubic
# volume = 153.6 Å³/cell